Here is a relaxed CaPm2Cd5 crystal from Alexandria. Energies are from PBE.

```
CaPm2Cd5
1.0
-0.8525 1.8454 -4.6945
-3.9222 -3.2362 -0.5599
-2.5711 6.1764 5.6822
Cd Pm Ca
5 2 1
direct
0.6181 0.1181 0.2362 Cd
0.1181 0.6181 0.2362 Cd
0.3819 0.8819 0.7638 Cd
0.5000 0.5000 0.0000 Cd
0.8819 0.3819 0.7638 Cd
0.7378 0.7378 0.4756 Pm
0.2622 0.2622 0.5244 Pm
0.0000 0.0000 0.0000 Ca
```

The energy is -0.08459 hartree per atom. Its space-group type is I4/mmm. For the calculated formation energy, the calculation gives -0.292 eV/atom.

Here is a relaxed CaPm2Cd4 crystal from Alexandria. Energies are from PBE.

```
CaPm2Cd4
1.0
-1.0526 5.1167 -0.9426
-2.1507 3.0120 3.8052
6.7788 4.8313 3.7097
Pm Cd Ca
2 4 1
direct
0.2503 0.2503 0.2491 Pm
0.7497 0.7497 0.7509 Pm
0.1264 0.1264 0.6209 Cd
0.3811 0.3811 0.8568 Cd
0.6189 0.6189 0.1432 Cd
0.8736 0.8736 0.3791 Cd
0.0000 0.0000 0.0000 Ca
```

The energy is -0.08492 hartree per atom. Its space-group type is R-3m. For the calculated formation energy, the calculation gives -0.145 eV/atom.

Q: energy of number 2 (CaPm2Cd4)?
A: -0.08492 hartree per atom

Q: What is the calculated formation energy in the first record?
A: -0.292 eV/atom

Repeat the second record exactly.
Here is a relaxed CaPm2Cd4 crystal from Alexandria. Energies are from PBE.

```
CaPm2Cd4
1.0
-1.0526 5.1167 -0.9426
-2.1507 3.0120 3.8052
6.7788 4.8313 3.7097
Pm Cd Ca
2 4 1
direct
0.2503 0.2503 0.2491 Pm
0.7497 0.7497 0.7509 Pm
0.1264 0.1264 0.6209 Cd
0.3811 0.3811 0.8568 Cd
0.6189 0.6189 0.1432 Cd
0.8736 0.8736 0.3791 Cd
0.0000 0.0000 0.0000 Ca
```

The energy is -0.08492 hartree per atom. Its space-group type is R-3m. For the calculated formation energy, the calculation gives -0.145 eV/atom.

Q: Which value of calculated formation energy does entry 1 give?
A: -0.292 eV/atom